No. 1
DFT (PBE-GGA) results for an optimized crystal structure of Sr2ReHg.

Lattice parameters (Å, degrees): 5.2733 5.2733 5.2733 60.00 60.00 60.00
Closest atoms and distances in Å follow each position.
Fractional positions:
Sr 0.0000 0.0000 0.0000  4 Re 3.23, 4 Sr 3.23
Sr 0.2500 0.2500 0.2500  4 Hg 3.23, 4 Sr 3.23
Re 0.7500 0.7500 0.7500  4 Sr 3.23, 4 Hg 3.23
Hg 0.5000 0.5000 0.5000  4 Re 3.23, 4 Sr 3.23

Computed properties:
The calculation puts the calculated volume at 104 Å³/f.u. Its space-group type is F-43m, No. 216. Its formation enthalpy at 0 K is 0.8208 eV per atom. The total magnetic moment comes out at 1.05 μB/cell.


No. 2
DFT (PBE-GGA) results for an optimized crystal structure of Er6Ge2TeAs3.

Lattice parameters (Å, degrees): 4.0688 8.3963 9.2757 103.43 102.67 90.00
Closest atoms and distances in Å follow each position.
Fractional positions:
Er 0.6735 0.0861 0.3470  3 As 2.87-2.91, 2 Ge 2.93, 1 Te 3.05
Er 0.9981 0.7309 0.9961  3 As 2.82-2.91, 1 Ge 2.90, 2 Te 3.03
Er 0.6672 0.5868 0.3345  3 As 2.92-2.94, 3 Ge 2.92-2.94
Er 0.3328 0.4132 0.6655  3 As 2.92-2.94, 3 Ge 2.92-2.94
Er 0.0019 0.2691 0.0039  3 As 2.82-2.91, 1 Ge 2.90, 2 Te 3.03
Er 0.3265 0.9139 0.6530  3 As 2.87-2.91, 2 Ge 2.93, 1 Te 3.05
Ge 0.8333 0.6667 0.6666  6 Er 2.90-2.94
Ge 0.1667 0.3333 0.3334  6 Er 2.90-2.94
As 0.5000 0.5000 0.0000  6 Er 2.82-2.94
As 0.8369 0.1662 0.6738  6 Er 2.87-2.92
As 0.1631 0.8338 0.3262  6 Er 2.87-2.92
Te 0.5000 0.0000 0.0000  6 Er 3.03-3.05

Computed properties:
As for the uncorrected formation energy: -1.23 eV per atom. The calculation puts the calculated volume at 300 Å³/f.u. Its space-group type is C2/m, No. 12. The total magnetic moment comes out at 0.00 μB/cell.


No. 3
DFT (PBE-GGA) results for an optimized crystal structure of SbCl.

Lattice parameters (Å, degrees): 4.3323 4.3323 4.3323 60.00 60.00 60.00
Closest atoms and distances in Å follow each position.
Fractional positions:
Sb 0.5000 0.5000 0.5000  6 Cl 3.06
Cl 0.0000 0.0000 0.0000  6 Sb 3.06

Computed properties:
As for the uncorrected formation energy: 0.37 eV per atom. The calculation puts the calculated volume at 57 Å³/f.u. The value obtained for the polymorph energy (0 for the lowest one) is 1.69 eV per formula unit. Its space-group type is Fm-3m, No. 225. The total magnetic moment comes out at 0.00 μB/cell.


No. 4
DFT (PBE-GGA) results for an optimized crystal structure of KLaTa2.

Lattice parameters (Å, degrees): 6.9686 6.9686 6.9686 154.96 126.41 60.03
Closest atoms and distances in Å follow each position.
Fractional positions:
La 0.2226 0.7226 0.5000  2 La 3.02
Ta 0.7914 0.2914 0.5000  2 Ta 2.61
Ta 0.9681 0.9681 0.0000  2 Ta 2.61
K 0.5178 0.5178 0.0000  2 K 3.02

Computed properties:
The calculation puts the calculated volume at 115 Å³/f.u. The value obtained for the polymorph energy (0 for the lowest one) is 1.91 eV per formula unit. Its space-group type is Imm2, No. 44. Its formation enthalpy at 0 K is 1.0320 eV per atom. The total magnetic moment comes out at 0.00 μB/cell.


No. 5
DFT (PBE-GGA) results for an optimized crystal structure of Ac4Ir2Rh.

Lattice parameters (Å, degrees): 8.3947 8.3947 8.3949 115.70 108.77 104.15
Closest atoms and distances in Å follow each position.
Fractional positions:
Ac 0.3344 0.1220 0.7901  3 Ir 3.03-3.12, 2 Rh 3.09-3.21
Ac 0.3319 0.5443 0.2099  3 Ir 3.03-3.12, 2 Rh 3.09-3.21
Ac 0.7995 0.0977 0.6991  3 Ir 2.89-2.98, 1 Rh 2.93
Ac 0.9181 0.6280 0.7124  3 Ir 3.03-3.12, 2 Rh 3.09-3.21
Ac 0.3986 0.1004 0.3009  3 Ir 2.89-2.98, 1 Rh 2.94
Ac 0.8514 0.6523 0.2017  3 Ir 2.89-2.98, 1 Rh 2.93
Ac 0.4505 0.6497 0.7983  3 Ir 2.89-2.98, 1 Rh 2.94
Ac 0.9156 0.2057 0.2876  3 Ir 3.03-3.12, 2 Rh 3.09-3.21
Ir 0.6236 0.8750 0.2486  6 Ac 2.98-3.03
Ir 0.1250 0.3728 0.7478  6 Ac 2.89-3.12
Ir 0.6250 0.3772 0.2522  6 Ac 2.89-3.12
Ir 0.6264 0.3750 0.7514  6 Ac 2.98-3.03
Rh 0.1691 0.6691 0.5000  6 Ac 2.93-3.21
Rh 0.0809 0.0809 0.0000  6 Ac 2.93-3.21

Computed properties:
The calculation puts the calculated volume at 225 Å³/f.u. The value obtained for the polymorph energy (0 for the lowest one) is 0.43 eV per formula unit. Its space-group type is I2_12_12_1, No. 24. Its formation enthalpy at 0 K is -0.5717 eV per atom. The total magnetic moment comes out at 0.00 μB/cell.


No. 6
DFT (PBE-GGA) results for an optimized crystal structure of NdHoErHg.

Lattice parameters (Å, degrees): 5.4455 5.4455 5.4455 60.00 60.00 60.00
Closest atoms and distances in Å follow each position.
Fractional positions:
Nd 0.5000 0.5000 0.5000  4 Er 3.33, 4 Hg 3.33
Ho 0.0000 0.0000 0.0000  4 Hg 3.33, 4 Er 3.33
Er 0.7500 0.7500 0.7500  4 Nd 3.33, 4 Ho 3.33
Hg 0.2500 0.2500 0.2500  4 Nd 3.33, 4 Ho 3.33

Computed properties:
The calculation puts the calculated volume at 114 Å³/f.u. The value obtained for the polymorph energy (0 for the lowest one) is 0.70 eV per formula unit. Its space-group type is F-43m, No. 216. Its formation enthalpy at 0 K is -0.0581 eV per atom. The total magnetic moment comes out at 0.00 μB/cell.


No. 7
DFT (PBE-GGA) results for an optimized crystal structure of RbMg2TiTc.

Lattice parameters (Å, degrees): 5.1374 4.7786 5.1374 90.00 90.00 90.00
Closest atoms and distances in Å follow each position.
Fractional positions:
Mg 0.0000 0.0000 0.5000  2 Rb 2.57
Mg 0.5000 0.0000 0.0000  2 Rb 2.57
Rb 0.0000 0.0000 0.0000  2 Ti 2.39, 4 Mg 2.57
Tc 0.5000 0.5000 0.5000  8 Mg 3.51, 4 Ti 3.63
Ti 0.0000 0.5000 0.0000  2 Rb 2.39

Computed properties:
The calculation puts the calculated volume at 126 Å³/f.u. Its space-group type is P4/mmm, No. 123. Its formation enthalpy at 0 K is 2.2976 eV per atom. The total magnetic moment comes out at 3.77 μB/cell.


No. 8
DFT (PBE-GGA) results for an optimized crystal structure of Co4NiP.

Lattice parameters (Å, degrees): 4.6641 4.6641 4.6641 60.00 60.00 60.00
Closest atoms and distances in Å follow each position.
Fractional positions:
P 0.0000 0.0000 0.0000  12 Co 2.74, 4 Ni 2.86
Co 0.3754 0.8738 0.3754  6 Co 2.32-2.34
Co 0.3754 0.3754 0.8738  6 Co 2.32-2.34
Co 0.8738 0.3754 0.3754  6 Co 2.32-2.34
Co 0.3754 0.3754 0.3754  6 Co 2.32-2.34
Ni 0.7500 0.7500 0.7500  12 Co 2.73, 4 P 2.86

Computed properties:
The calculation puts the calculated volume at 72 Å³/f.u. Its space-group type is F-43m, No. 216. Its formation enthalpy at 0 K is 0.3653 eV per atom. The total magnetic moment comes out at 8.00 μB/cell.


No. 9
DFT (PBE-GGA) results for an optimized crystal structure of RbErScI6.

Lattice parameters (Å, degrees): 7.6682 7.6682 16.8596 90.00 90.00 120.00
Closest atoms and distances in Å follow each position.
Fractional positions:
I 0.3673 0.3627 0.8538  1 Sc 2.98, 1 Er 3.03
I 0.9954 0.6327 0.8538  1 Sc 2.98, 1 Er 3.03
I 0.6327 0.6373 0.1462  1 Sc 2.98, 1 Er 3.03
I 0.3627 0.3673 0.3538  1 Sc 2.98, 1 Er 3.03
I 0.3673 0.0046 0.6462  1 Sc 2.98, 1 Er 3.03
I 0.9954 0.3627 0.6462  1 Sc 2.98, 1 Er 3.03
I 0.0046 0.3673 0.1462  1 Sc 2.98, 1 Er 3.03
I 0.3627 0.9954 0.1462  1 Sc 2.98, 1 Er 3.03
I 0.6373 0.6327 0.6462  1 Sc 2.98, 1 Er 3.03
I 0.0046 0.6373 0.3538  1 Sc 2.98, 1 Er 3.03
I 0.6327 0.9954 0.3538  1 Sc 2.98, 1 Er 3.03
I 0.6373 0.0046 0.8538  1 Sc 2.98, 1 Er 3.03
Rb 0.0000 0.0000 0.5000  6 I 3.73
Rb 0.0000 0.0000 0.0000  6 I 3.73
Er 0.3333 0.6667 0.7500  6 I 3.03
Er 0.6667 0.3333 0.2500  6 I 3.03
Sc 0.3333 0.6667 0.2500  6 I 2.98
Sc 0.6667 0.3333 0.7500  6 I 2.98

Computed properties:
As for the uncorrected formation energy: -1.29 eV per atom. The calculation puts the calculated volume at 429 Å³/f.u. Its space-group type is P-31c, No. 163. The total magnetic moment comes out at 2.05 μB/cell.


No. 10
DFT (PBE-GGA) results for an optimized crystal structure of TlTcRh2.

Lattice parameters (Å, degrees): 9.1930 9.1930 9.1930 18.13 18.13 18.13
Closest atoms and distances in Å follow each position.
Fractional positions:
Rh 0.9937 0.9937 0.9937  3 Tc 2.68, 6 Rh 2.90, 3 Tl 2.95
Rh 0.5063 0.5063 0.5063  3 Tc 2.68, 6 Rh 2.90, 3 Tl 2.95
Tc 0.2500 0.2500 0.2500  6 Rh 2.68, 6 Tc 2.90
Tl 0.7500 0.7500 0.7500  6 Tl 2.90, 6 Rh 2.95

Computed properties:
The calculation puts the calculated volume at 66 Å³/f.u. The value obtained for the polymorph energy (0 for the lowest one) is 0.70 eV per formula unit. Its space-group type is R-3m, No. 166. Its formation enthalpy at 0 K is 0.2649 eV per atom. The total magnetic moment comes out at 0.00 μB/cell.


No. 11
DFT (PBE-GGA) results for an optimized crystal structure of Pm2MnP4Pt3.

Lattice parameters (Å, degrees): 4.1861 4.1861 9.6955 90.00 90.00 90.00
Closest atoms and distances in Å follow each position.
Fractional positions:
Mn 0.5000 0.5000 0.5000  4 P 2.43
Pt 0.0000 0.0000 0.5000  4 P 2.43
Pt 0.0000 0.5000 0.1225  5 P 2.41-2.42
Pt 0.5000 0.0000 0.8775  5 P 2.41-2.42
P 0.0000 0.5000 0.3718  3 Pt 2.42-2.43, 2 Mn 2.43
P 0.0000 0.0000 0.0000  4 Pt 2.41
P 0.5000 0.0000 0.6282  3 Pt 2.42-2.43, 2 Mn 2.43
P 0.5000 0.5000 0.0000  4 Pt 2.41
Pm 0.0000 0.5000 0.7523  8 P 3.19-3.20, 6 Pt 3.20-3.22, 2 Mn 3.22
Pm 0.5000 0.0000 0.2477  8 P 3.19-3.20, 6 Pt 3.20-3.22, 2 Mn 3.22

Computed properties:
The calculation puts the calculated volume at 170 Å³/f.u. Its space-group type is P-4m2, No. 115. Its formation enthalpy at 0 K is -0.9156 eV per atom. The total magnetic moment comes out at 0.00 μB/cell.